(1)
The following is a PBE calculation of a relaxed Cs3NaAg2I6 crystal, from Alexandria via LeMat-Bulk.

formation energy from raw total energies = -1.003 eV per atom
mass density = 3.30 Mg/m³
SG = No. 164

Cell: 9.0012 9.0012 10.0469 Å, 90.00 90.00 120.00°
Fractional coordinates of all 12 atoms:
Cs: 0.0000 0.0000 0.0000
Cs: 0.3333 0.6667 0.6388
Cs: 0.6667 0.3333 0.3612
Na: 0.0000 0.0000 0.5000
Ag: 0.3333 0.6667 0.2689
Ag: 0.6667 0.3333 0.7311
I: 0.1584 0.3169 0.2942
I: 0.1584 0.8416 0.2942
I: 0.3169 0.1584 0.7058
I: 0.6831 0.8416 0.2942
I: 0.8416 0.1584 0.7058
I: 0.8416 0.6831 0.7058

***

(2)
The following is a PBE calculation of a relaxed CsNa2AgI4 crystal, from Alexandria via LeMat-Bulk.

formation energy from raw total energies = -1.070 eV per atom
mass density = 4.07 Mg/m³
SG = No. 63

Cell: 8.5444 8.5444 16.5710 Å, 90.00 90.00 147.57°
Fractional coordinates of all 16 atoms:
Cs: 0.1225 0.8775 0.7500
Cs: 0.8775 0.1225 0.2500
Na: 0.3766 0.6234 0.5540
Na: 0.3766 0.6234 0.9460
Na: 0.6234 0.3766 0.0540
Na: 0.6234 0.3766 0.4460
Ag: 0.1597 0.8403 0.2500
Ag: 0.8403 0.1597 0.7500
I: 0.0000 0.0000 0.0000
I: 0.0000 0.0000 0.5000
I: 0.2559 0.7441 0.1078
I: 0.2559 0.7441 0.3922
I: 0.4385 0.5615 0.7500
I: 0.5615 0.4385 0.2500
I: 0.7441 0.2559 0.6078
I: 0.7441 0.2559 0.8922

***

(3)
The following is a PBE calculation of a relaxed CsNaAgI4 crystal, from Alexandria via LeMat-Bulk.

formation energy from raw total energies = -0.827 eV per atom
mass density = 4.06 Mg/m³
SG = No. 11

Cell: 8.8772 6.7239 10.8201 Å, 90.00 102.45 90.00°
Fractional coordinates of all 14 atoms:
Cs: 0.2467 0.2500 0.4432
Cs: 0.7533 0.7500 0.5568
Na: 0.1570 0.2500 0.9134
Na: 0.8430 0.7500 0.0866
Ag: 0.2529 0.7500 0.1700
Ag: 0.7471 0.2500 0.8300
I: 0.0667 0.7500 0.3526
I: 0.0939 0.7500 0.9171
I: 0.4802 0.5058 0.7692
I: 0.4802 0.9942 0.7692
I: 0.5198 0.0058 0.2308
I: 0.5198 0.4942 0.2308
I: 0.9061 0.2500 0.0829
I: 0.9333 0.2500 0.6474

***

(4)
The following is a PBE calculation of a relaxed Cs2NdAg2I6 crystal, from Alexandria via LeMat-Bulk.

formation energy from raw total energies = -0.993 eV per atom
mass density = 4.31 Mg/m³
SG = No. 12

Cell: 8.4244 8.4244 8.9002 Å, 110.38 110.38 68.92°
Fractional coordinates of all 11 atoms:
Cs: 0.2171 0.2171 0.1682
Cs: 0.7829 0.7829 0.8318
Nd: 0.0000 0.0000 0.5000
Ag: 0.4605 0.4605 0.6199
Ag: 0.5395 0.5395 0.3801
I: 0.1959 0.7418 0.2273
I: 0.2466 0.2466 0.6226
I: 0.2582 0.8041 0.7727
I: 0.7418 0.1959 0.2273
I: 0.7534 0.7534 0.3774
I: 0.8041 0.2582 0.7727

***

(5)
The following is a PBE calculation of a relaxed Cs2NdAgI6 crystal, from Alexandria via LeMat-Bulk.

formation energy from raw total energies = -1.254 eV per atom
mass density = 4.56 Mg/m³
SG = No. 164
ΔE to the lowest computed polymorph = 0 meV per atom

Cell: 8.6224 8.6224 7.2410 Å, 90.00 90.00 120.00°
Fractional coordinates of all 10 atoms:
Cs: 0.3333 0.6667 0.2456
Cs: 0.6667 0.3333 0.7544
Nd: 0.0000 0.0000 0.0000
Ag: 0.0000 0.0000 0.5000
I: 0.1694 0.3389 0.7475
I: 0.1694 0.8306 0.7475
I: 0.3389 0.1694 0.2525
I: 0.6611 0.8306 0.7475
I: 0.8306 0.1694 0.2525
I: 0.8306 0.6611 0.2525

***

(6)
The following is a PBE calculation of a relaxed Cs2NdAgI6 crystal, from Alexandria via LeMat-Bulk.

formation energy from raw total energies = -1.230 eV per atom
mass density = 4.53 Mg/m³
SG = No. 225
ΔE to the lowest computed polymorph = 24 meV per atom

Cell: 8.7191 8.7191 8.7191 Å, 60.00 60.00 60.00°
Fractional coordinates of all 10 atoms:
Cs: 0.2500 0.2500 0.2500
Cs: 0.7500 0.7500 0.7500
Nd: 0.0000 0.0000 0.0000
Ag: 0.5000 0.5000 0.5000
I: 0.2525 0.2525 0.7475
I: 0.2525 0.7475 0.2525
I: 0.2525 0.7475 0.7475
I: 0.7475 0.2525 0.2525
I: 0.7475 0.2525 0.7475
I: 0.7475 0.7475 0.2525

***

(7)
The following is a PBE calculation of a relaxed CsNdAgI6 crystal, from Alexandria via LeMat-Bulk.

formation energy from raw total energies = -0.986 eV per atom
mass density = 4.15 Mg/m³
SG = No. 1

Cell: 7.6251 7.7922 8.3840 Å, 93.71 97.96 110.56°
Fractional coordinates of all 9 atoms:
Cs: 0.0000 0.0000 0.0000
Nd: 0.3999 0.6488 0.5068
Ag: 0.7881 0.3412 0.4393
I: 0.0524 0.5666 0.2278
I: 0.1068 0.3092 0.6348
I: 0.4301 0.9357 0.7793
I: 0.4863 0.3907 0.2360
I: 0.6462 0.9529 0.3145
I: 0.7083 0.5377 0.7114

***

(8)
The following is a PBE calculation of a relaxed CsNdAgI5 crystal, from Alexandria via LeMat-Bulk.

formation energy from raw total energies = -1.153 eV per atom
mass density = 4.23 Mg/m³
SG = No. 15

Cell: 8.7235 8.7235 11.8304 Å, 102.90 102.90 106.68°
Fractional coordinates of all 16 atoms:
Cs: 0.1473 0.8527 0.7500
Cs: 0.8527 0.1473 0.2500
Nd: 0.5000 0.5000 0.0000
Nd: 0.5000 0.5000 0.5000
Ag: 0.1900 0.8100 0.2500
Ag: 0.8100 0.1900 0.7500
I: 0.1250 0.2664 0.9370
I: 0.1872 0.5952 0.4002
I: 0.2664 0.1250 0.4370
I: 0.4048 0.8128 0.0998
I: 0.4254 0.5746 0.7500
I: 0.5746 0.4254 0.2500
I: 0.5952 0.1872 0.9002
I: 0.7336 0.8750 0.5630
I: 0.8128 0.4048 0.5998
I: 0.8750 0.7336 0.0630

***

(9)
The following is a PBE calculation of a relaxed CsNpAg2I8 crystal, from Alexandria via LeMat-Bulk.

formation energy from raw total energies = -0.622 eV per atom
mass density = 4.64 Mg/m³
SG = No. 12

Cell: 7.4843 7.4843 11.0554 Å, 94.99 94.99 68.58°
Fractional coordinates of all 12 atoms:
Cs: 0.0000 0.0000 0.0000
Np: 0.0000 0.0000 0.5000
Ag: 0.3573 0.3573 0.7251
Ag: 0.6427 0.6427 0.2749
I: 0.2262 0.7319 0.3077
I: 0.2390 0.2390 0.4933
I: 0.2681 0.7738 0.6923
I: 0.3129 0.3129 0.9585
I: 0.6871 0.6871 0.0415
I: 0.7319 0.2262 0.3077
I: 0.7610 0.7610 0.5067
I: 0.7738 0.2681 0.6923

***

(10)
The following is a PBE calculation of a relaxed Cs2NpAgI6 crystal, from Alexandria via LeMat-Bulk.

formation energy from raw total energies = -1.037 eV per atom
mass density = 4.94 Mg/m³
SG = No. 164

Cell: 8.5811 8.5811 7.2281 Å, 90.00 90.00 120.00°
Fractional coordinates of all 10 atoms:
Cs: 0.3333 0.6667 0.2531
Cs: 0.6667 0.3333 0.7469
Np: 0.0000 0.0000 0.5000
Ag: 0.0000 0.0000 0.0000
I: 0.1692 0.3384 0.7520
I: 0.1692 0.8308 0.7520
I: 0.3384 0.1692 0.2480
I: 0.6616 0.8308 0.7520
I: 0.8308 0.1692 0.2480
I: 0.8308 0.6616 0.2480

***

(11)
The following is a PBE calculation of a relaxed CsNpAgI5 crystal, from Alexandria via LeMat-Bulk.

formation energy from raw total energies = -0.878 eV per atom
mass density = 4.62 Mg/m³
SG = No. 15

Cell: 8.7026 8.7026 11.8466 Å, 102.73 102.73 106.55°
Fractional coordinates of all 16 atoms:
Cs: 0.1523 0.8477 0.7500
Cs: 0.8477 0.1523 0.2500
Np: 0.5000 0.5000 0.0000
Np: 0.5000 0.5000 0.5000
Ag: 0.1913 0.8087 0.2500
Ag: 0.8087 0.1913 0.7500
I: 0.1277 0.2646 0.9309
I: 0.1882 0.5958 0.4016
I: 0.2646 0.1277 0.4309
I: 0.4042 0.8118 0.0984
I: 0.4315 0.5685 0.7500
I: 0.5685 0.4315 0.2500
I: 0.5958 0.1882 0.9016
I: 0.7354 0.8723 0.5691
I: 0.8118 0.4042 0.5984
I: 0.8723 0.7354 0.0691

***

(12)
The following is a PBE calculation of a relaxed Cs3NpAg2I9 crystal, from Alexandria via LeMat-Bulk.

formation energy from raw total energies = -0.939 eV per atom
mass density = 4.85 Mg/m³
SG = No. 164

Cell: 8.6391 8.6391 10.5520 Å, 90.00 90.00 120.00°
Fractional coordinates of all 15 atoms:
Cs: 0.0000 0.0000 0.0000
Cs: 0.3333 0.6667 0.7023
Cs: 0.6667 0.3333 0.2977
Np: 0.0000 0.0000 0.5000
Ag: 0.3333 0.6667 0.1383
Ag: 0.6667 0.3333 0.8617
I: 0.0000 0.5000 0.0000
I: 0.1656 0.3312 0.3360
I: 0.1656 0.8344 0.3360
I: 0.3312 0.1656 0.6640
I: 0.5000 0.0000 0.0000
I: 0.5000 0.5000 0.0000
I: 0.6688 0.8344 0.3360
I: 0.8344 0.1656 0.6640
I: 0.8344 0.6688 0.6640